No. 1
Re4NiRu | PBE | relaxed

Unit cell a=5.0988 b=5.0988 c=5.0988 alpha=60.00 beta=60.00 gamma=60.00
Closest atoms and distances in Å follow each position.
Fractional positions:
Re: 0.6259 0.6259 0.6259  6 Re 2.53-2.57
Re: 0.1224 0.6259 0.6259  6 Re 2.53-2.57
Re: 0.6259 0.6259 0.1224  6 Re 2.53-2.57
Ru: 0.2500 0.2500 0.2500  12 Re 2.99, 4 Ni 3.12
Ni: 0.0000 0.0000 0.0000  12 Re 2.99, 4 Ru 3.12
Re: 0.6259 0.1224 0.6259  6 Re 2.53-2.57

Its total energy is -61.648 eV/cell.

***

No. 2
Re2NiRu | PBE | relaxed

Unit cell a=4.2921 b=4.2921 c=4.2921 alpha=60.00 beta=60.00 gamma=60.00
Closest atoms and distances in Å follow each position.
Fractional positions:
Re: 0.0000 0.0000 0.0000  4 Ni 2.63, 4 Re 2.63
Ru: 0.5000 0.5000 0.5000  4 Re 2.63, 4 Ni 2.63
Re: 0.2501 0.2501 0.2497  4 Ru 2.63, 4 Re 2.63
Ni: 0.7499 0.7499 0.7502  4 Ru 2.63, 4 Re 2.63

The energy above the lowest structure with this stoichiometry comes out at 266 meV/atom. Its total energy is -39.129 eV/cell.

***

No. 3
ReNi2Ru | PBE | relaxed

Unit cell a=4.5799 b=4.5799 c=4.5808 alpha=132.85 beta=132.85 gamma=68.88
Closest atoms and distances in Å follow each position.
Fractional positions:
Re: 0.2500 0.7500 0.5000  4 Ru 2.59, 8 Ni 2.63
Ni: 0.0000 0.0000 0.0000  4 Ni 2.59, 4 Ru 2.63, 4 Re 2.63
Ru: 0.7500 0.2500 0.5000  4 Re 2.59, 8 Ni 2.63
Ni: 0.5000 0.5000 0.0000  4 Ni 2.59, 4 Ru 2.63, 4 Re 2.63

The energy above the lowest structure with this stoichiometry comes out at 82 meV/atom. Its total energy is -32.949 eV/cell.

***

No. 4
Re2NiRu | PBE | relaxed

Unit cell a=4.2935 b=4.2935 c=4.2935 alpha=60.00 beta=60.00 gamma=60.00
Closest atoms and distances in Å follow each position.
Fractional positions:
Ru: 0.5000 0.5000 0.5000  8 Re 2.63
Ni: 0.0000 0.0000 0.0000  8 Re 2.63
Re: 0.2500 0.2500 0.2500  4 Ni 2.63, 4 Ru 2.63
Re: 0.7500 0.7500 0.7500  4 Ru 2.63, 4 Ni 2.63

The energy above the lowest structure with this stoichiometry comes out at 516 meV/atom. Its total energy is -38.129 eV/cell.

***

No. 5
Re2NiRu | PBE | relaxed

Unit cell a=4.7182 b=4.7182 c=4.7182 alpha=133.04 beta=133.01 gamma=68.62
Closest atoms and distances in Å follow each position.
Fractional positions:
Re: 0.5000 0.5000 0.0000  4 Re 2.66, 4 Ni 2.71, 4 Ru 2.71
Ru: 0.7500 0.2500 0.5000  4 Ni 2.66, 8 Re 2.71
Ni: 0.2500 0.7500 0.5000  4 Ru 2.66, 8 Re 2.71
Re: 0.0000 0.0000 0.0000  4 Re 2.66, 4 Ni 2.71, 4 Ru 2.71

The energy above the lowest structure with this stoichiometry comes out at 144 meV/atom. Its total energy is -39.616 eV/cell.

***

No. 6
Re2NiRu | PBE | relaxed

Unit cell a=2.6954 b=3.8420 c=5.3182 alpha=90.00 beta=90.00 gamma=90.00
Closest atoms and distances in Å follow each position.
Fractional positions:
Ni: 0.5000 0.5000 0.5000  2 Ru 2.66, 8 Re 2.68, 2 Ni 2.70
Re: 0.0000 0.0000 0.7417  4 Re 2.57-2.75, 4 Ni 2.68, 4 Ru 2.72
Re: 0.0000 0.0000 0.2583  4 Re 2.57-2.75, 4 Ni 2.68, 4 Ru 2.72
Ru: 0.5000 0.5000 0.0000  2 Ni 2.66, 2 Ru 2.70, 8 Re 2.72

The energy above the lowest structure with this stoichiometry comes out at 94 meV/atom. Its total energy is -39.817 eV/cell.

***

No. 7
ReNi2Ru | PBE | relaxed

Unit cell a=4.5432 b=4.5432 c=4.5422 alpha=132.07 beta=132.09 gamma=70.11
Closest atoms and distances in Å follow each position.
Fractional positions:
Re: 0.5000 0.5000 0.0000  8 Ni 2.61-2.62, 4 Ru 2.62
Ru: 0.7501 0.2497 0.5000  8 Ni 2.61-2.62, 4 Re 2.62
Ni: 0.0001 0.9999 0.0000  4 Re 2.61, 4 Ni 2.62, 4 Ru 2.62
Ni: 0.2498 0.7502 0.5000  4 Ru 2.61, 4 Ni 2.62, 4 Re 2.62

The energy above the lowest structure with this stoichiometry comes out at 0 meV/atom. Its total energy is -33.279 eV/cell.

***

No. 8
ReNi2Ru | PBE | relaxed

Unit cell a=4.1532 b=4.1532 c=4.1532 alpha=60.00 beta=60.00 gamma=60.00
Closest atoms and distances in Å follow each position.
Fractional positions:
Ni: 0.7500 0.7500 0.7500  4 Re 2.54, 4 Ru 2.54
Ni: 0.2500 0.2500 0.2500  4 Re 2.54, 4 Ru 2.54
Re: 0.0000 0.0000 0.0000  8 Ni 2.54
Ru: 0.5000 0.5000 0.5000  8 Ni 2.54

The energy above the lowest structure with this stoichiometry comes out at 262 meV/atom. Its total energy is -32.229 eV/cell.